1.
A plane-wave DFT calculation with PBE was carried out for Sb2OsRh after structural relaxation.

Calculated values
- VASP energy: -25.4 eV/cell
- E above lowest polymorph: 250 meV per atom
- Density of states at the Fermi level: 5.33 states/eV per cell
- Formation energy (no corrections): 0.359 eV/atom

Unit cell a=10.4349 b=10.4349 c=10.4349 alpha=17.13 beta=17.13 gamma=17.13
Closest atoms and distances in Å follow each position.
Sites, in units of the cell vectors:
Sb1 0.9755 0.9755 0.9755  3 Rh 2.69
Sb2 0.7747 0.7747 0.7747  3 Os 2.68
Os1 0.5060 0.5060 0.5060  3 Sb 2.68, 3 Rh 2.83
Rh1 0.2438 0.2438 0.2438  3 Sb 2.69, 3 Os 2.83


2.
A plane-wave DFT calculation with PBE was carried out for SbOs2Rh after structural relaxation.

Calculated values
- VASP energy: -31.4 eV/cell
- Density of states at the Fermi level: 5.19 states/eV per cell
- Formation energy (no corrections): 0.632 eV/atom

Unit cell a=2.9475 b=2.9475 c=7.3306 alpha=90.00 beta=90.00 gamma=90.00
Closest atoms and distances in Å follow each position.
Sites, in units of the cell vectors:
Sb1 0.5000 0.5000 0.5000  8 Os 2.81, 4 Sb 2.95
Os1 0.0000 0.0000 0.7581  4 Rh 2.74, 4 Sb 2.81, 4 Os 2.95
Os2 0.0000 0.0000 0.2419  4 Rh 2.74, 4 Sb 2.81, 4 Os 2.95
Rh1 0.5000 0.5000 0.0000  8 Os 2.74, 4 Rh 2.95


3.
A plane-wave DFT calculation with PBE was carried out for Sb2OsRh after structural relaxation.

Calculated values
- VASP energy: -25.8 eV/cell
- E above lowest polymorph: 146 meV per atom
- Density of states at the Fermi level: 3.44 states/eV per cell
- Formation energy (no corrections): 0.254 eV/atom

Unit cell a=3.2091 b=3.2091 c=6.9912 alpha=90.00 beta=90.00 gamma=90.00
Closest atoms and distances in Å follow each position.
Sites, in units of the cell vectors:
Sb1 0.0000 0.0000 0.7511  4 Os 2.86, 4 Rh 2.87
Sb2 0.0000 0.0000 0.2489  4 Os 2.86, 4 Rh 2.87
Os1 0.5000 0.5000 0.0000  8 Sb 2.86
Rh1 0.5000 0.5000 0.5000  8 Sb 2.87, 4 Rh 3.21


4.
A plane-wave DFT calculation with PBE was carried out for Sb2OsRh after structural relaxation.

Calculated values
- VASP energy: -25.6 eV/cell
- E above lowest polymorph: 186 meV per atom
- Density of states at the Fermi level: 2.94 states/eV per cell
- Formation energy (no corrections): 0.294 eV/atom

Unit cell a=7.0981 b=7.0981 c=7.0981 alpha=154.60 beta=144.27 gamma=44.35
Closest atoms and distances in Å follow each position.
Sites, in units of the cell vectors:
Sb1 0.0111 0.0111 0.0000  4 Os 2.75, 2 Rh 2.88
Sb2 0.7336 0.2336 0.5000  4 Rh 2.72, 2 Os 2.77
Os1 0.5595 0.5595 0.0000  6 Sb 2.75-2.77, 2 Rh 2.82
Rh1 0.1957 0.6957 0.5000  6 Sb 2.72-2.88, 2 Os 2.82


Question: Among the records above, which one has the highest formation energy (no corrections)?
Answer: SbOs2Rh


Please write out number 2 again, unchanged.
A plane-wave DFT calculation with PBE was carried out for SbOs2Rh after structural relaxation.

Calculated values
- VASP energy: -31.4 eV/cell
- Density of states at the Fermi level: 5.19 states/eV per cell
- Formation energy (no corrections): 0.632 eV/atom

Unit cell a=2.9475 b=2.9475 c=7.3306 alpha=90.00 beta=90.00 gamma=90.00
Closest atoms and distances in Å follow each position.
Sites, in units of the cell vectors:
Sb1 0.5000 0.5000 0.5000  8 Os 2.81, 4 Sb 2.95
Os1 0.0000 0.0000 0.7581  4 Rh 2.74, 4 Sb 2.81, 4 Os 2.95
Os2 0.0000 0.0000 0.2419  4 Rh 2.74, 4 Sb 2.81, 4 Os 2.95
Rh1 0.5000 0.5000 0.0000  8 Os 2.74, 4 Rh 2.95


Question: What is the formula in the second record?
Answer: SbOs2Rh